A) This record from Alexandria describes RuSeBrN2 after structural relaxation. The functional is PBE.

Calculated values
The density is 4.82 g/cm3. The volume comes out at 19.8 Å³ per atom.

CIF file:
```
data_RuSeBrN2
_cell_length_a 3.739
_cell_length_b 3.739
_cell_length_c 7.092
_cell_angle_alpha 90.00
_cell_angle_beta 90.00
_cell_angle_gamma 90.00
_space_group_name_H-M_alt 'P 4/m m m'
_space_group_IT_number 123
_space_group_name_Hall '-P 4 2'
loop_
_atom_site_label
_atom_site_type_symbol
_atom_site_fract_x
_atom_site_fract_y
_atom_site_fract_z
Ru1 Ru 0.000 0.000 0.000
Se1 Se 0.500 0.500 0.000
Br1 Br 0.500 0.500 0.500
N1 N 0.000 0.500 0.500
```

B) This record from Alexandria describes RuSeBrN2 after structural relaxation. The functional is PBE.

Calculated values
The density is 5.85 g/cm3. The volume comes out at 16.3 Å³ per atom.

CIF file:
```
data_RuSeBrN2
_cell_length_a 3.831
_cell_length_b 3.831
_cell_length_c 5.567
_cell_angle_alpha 90.00
_cell_angle_beta 90.00
_cell_angle_gamma 90.00
_space_group_name_H-M_alt 'P 4/m m m'
_space_group_IT_number 123
_space_group_name_Hall '-P 4 2'
loop_
_atom_site_label
_atom_site_type_symbol
_atom_site_fract_x
_atom_site_fract_y
_atom_site_fract_z
Ru1 Ru 0.000 0.000 0.000
Se1 Se 0.000 0.000 0.500
Br1 Br 0.500 0.500 0.500
N1 N 0.000 0.500 0.000
```

According to the calculations, the structures order from most to least stable as B), A).

A) This record from Alexandria describes RuSeBr2N after structural relaxation. The functional is PBE.

Calculated values
The density is 6.16 g/cm3. The volume comes out at 19.1 Å³ per atom.

CIF file:
```
data_RuSeBr2N
_cell_length_a 4.476
_cell_length_b 4.476
_cell_length_c 4.761
_cell_angle_alpha 90.00
_cell_angle_beta 90.00
_cell_angle_gamma 90.00
_space_group_name_H-M_alt 'P 4/m m m'
_space_group_IT_number 123
_space_group_name_Hall '-P 4 2'
loop_
_atom_site_label
_atom_site_type_symbol
_atom_site_fract_x
_atom_site_fract_y
_atom_site_fract_z
Ru1 Ru 0.000 0.000 0.000
Se1 Se 0.500 0.500 0.000
Br1 Br 0.000 0.500 0.500
N1 N 0.500 0.500 0.500
```

B) This record from Alexandria describes RuSeBr2N after structural relaxation. The functional is PBE.

Calculated values
The density is 4.90 g/cm3. The volume comes out at 24.0 Å³ per atom.

CIF file:
```
data_RuSeBr2N
_cell_length_a 5.081
_cell_length_b 5.081
_cell_length_c 4.650
_cell_angle_alpha 90.00
_cell_angle_beta 90.00
_cell_angle_gamma 90.00
_space_group_name_H-M_alt 'P 4/m m m'
_space_group_IT_number 123
_space_group_name_Hall '-P 4 2'
loop_
_atom_site_label
_atom_site_type_symbol
_atom_site_fract_x
_atom_site_fract_y
_atom_site_fract_z
Ru1 Ru 0.000 0.000 0.000
Se1 Se 0.000 0.000 0.500
Br1 Br 0.000 0.500 0.000
N1 N 0.500 0.500 0.500
```

According to the calculations, the structures order from most to least stable as A), B).

A) This record from Alexandria describes TeRuBrN2 after structural relaxation. The functional is PBE.

Calculated values
The density is 5.15 g/cm3. The volume comes out at 21.7 Å³ per atom.

CIF file:
```
data_TeRuBrN2
_cell_length_a 3.806
_cell_length_b 3.806
_cell_length_c 7.492
_cell_angle_alpha 90.00
_cell_angle_beta 90.00
_cell_angle_gamma 90.00
_space_group_name_H-M_alt 'P 4/m m m'
_space_group_IT_number 123
_space_group_name_Hall '-P 4 2'
loop_
_atom_site_label
_atom_site_type_symbol
_atom_site_fract_x
_atom_site_fract_y
_atom_site_fract_z
Te1 Te 0.000 0.000 0.000
Ru1 Ru 0.500 0.500 0.000
Br1 Br 0.000 0.000 0.500
N1 N 0.000 0.500 0.500
```

B) This record from Alexandria describes TeRuBrN2 after structural relaxation. The functional is PBE.

Calculated values
The density is 6.33 g/cm3. The volume comes out at 17.7 Å³ per atom.

CIF file:
```
data_TeRuBrN2
_cell_length_a 3.921
_cell_length_b 3.921
_cell_length_c 5.747
_cell_angle_alpha 90.00
_cell_angle_beta 90.00
_cell_angle_gamma 90.00
_space_group_name_H-M_alt 'P 4/m m m'
_space_group_IT_number 123
_space_group_name_Hall '-P 4 2'
loop_
_atom_site_label
_atom_site_type_symbol
_atom_site_fract_x
_atom_site_fract_y
_atom_site_fract_z
Te1 Te 0.000 0.000 0.000
Ru1 Ru 0.000 0.000 0.500
Br1 Br 0.500 0.500 0.000
N1 N 0.000 0.500 0.500
```

According to the calculations, the structures order from most to least stable as B), A).

A) This record from Alexandria describes SeS2BrN after structural relaxation. The functional is PBE.

Calculated values
The density is 4.11 g/cm3. The volume comes out at 19.2 Å³ per atom.

CIF file:
```
data_SeS2BrN
_cell_length_a 5.081
_cell_length_b 5.081
_cell_length_c 3.711
_cell_angle_alpha 90.00
_cell_angle_beta 90.00
_cell_angle_gamma 90.00
_space_group_name_H-M_alt 'P 4/m m m'
_space_group_IT_number 123
_space_group_name_Hall '-P 4 2'
loop_
_atom_site_label
_atom_site_type_symbol
_atom_site_fract_x
_atom_site_fract_y
_atom_site_fract_z
Se1 Se 0.000 0.000 0.000
S1 S 0.000 0.500 0.500
Br1 Br 0.500 0.500 0.500
N1 N 0.500 0.500 0.000
```

B) This record from Alexandria describes SeS2BrN after structural relaxation. The functional is PBE.

Calculated values
The density is 4.11 g/cm3. The volume comes out at 19.1 Å³ per atom.

CIF file:
```
data_SeS2BrN
_cell_length_a 5.060
_cell_length_b 5.060
_cell_length_c 3.739
_cell_angle_alpha 90.00
_cell_angle_beta 90.00
_cell_angle_gamma 90.00
_space_group_name_H-M_alt 'P 4/m m m'
_space_group_IT_number 123
_space_group_name_Hall '-P 4 2'
loop_
_atom_site_label
_atom_site_type_symbol
_atom_site_fract_x
_atom_site_fract_y
_atom_site_fract_z
Se1 Se 0.000 0.000 0.000
S1 S 0.000 0.500 0.000
Br1 Br 0.500 0.500 0.500
N1 N 0.000 0.000 0.500
```

According to the calculations, the structures order from most to least stable as B), A).

A) This record from Alexandria describes SeSBrN2 after structural relaxation. The functional is PBE.

Calculated values
The density is 3.66 g/cm3. The volume comes out at 19.9 Å³ per atom.

CIF file:
```
data_SeSBrN2
_cell_length_a 3.738
_cell_length_b 3.738
_cell_length_c 7.111
_cell_angle_alpha 90.00
_cell_angle_beta 90.00
_cell_angle_gamma 90.00
_space_group_name_H-M_alt 'P 4/m m m'
_space_group_IT_number 123
_space_group_name_Hall '-P 4 2'
loop_
_atom_site_label
_atom_site_type_symbol
_atom_site_fract_x
_atom_site_fract_y
_atom_site_fract_z
Se1 Se 0.000 0.000 0.000
S1 S 0.000 0.000 0.500
Br1 Br 0.500 0.500 0.500
N1 N 0.000 0.500 0.000
```

B) This record from Alexandria describes SeSBrN2 after structural relaxation. The functional is PBE.

Calculated values
The density is 3.60 g/cm3. The volume comes out at 20.2 Å³ per atom.

CIF file:
```
data_SeSBrN2
_cell_length_a 3.622
_cell_length_b 3.622
_cell_length_c 7.697
_cell_angle_alpha 90.00
_cell_angle_beta 90.00
_cell_angle_gamma 90.00
_space_group_name_H-M_alt 'P 4/m m m'
_space_group_IT_number 123
_space_group_name_Hall '-P 4 2'
loop_
_atom_site_label
_atom_site_type_symbol
_atom_site_fract_x
_atom_site_fract_y
_atom_site_fract_z
Se1 Se 0.000 0.000 0.000
S1 S 0.000 0.000 0.500
Br1 Br 0.500 0.500 0.000
N1 N 0.000 0.500 0.500
```

C) This record from Alexandria describes SeSBrN2 after structural relaxation. The functional is PBE.

Calculated values
The density is 3.37 g/cm3. The volume comes out at 21.6 Å³ per atom.

CIF file:
```
data_SeSBrN2
_cell_length_a 3.761
_cell_length_b 3.761
_cell_length_c 7.635
_cell_angle_alpha 90.00
_cell_angle_beta 90.00
_cell_angle_gamma 90.00
_space_group_name_H-M_alt 'P 4/m m m'
_space_group_IT_number 123
_space_group_name_Hall '-P 4 2'
loop_
_atom_site_label
_atom_site_type_symbol
_atom_site_fract_x
_atom_site_fract_y
_atom_site_fract_z
Se1 Se 0.000 0.000 0.000
S1 S 0.500 0.500 0.000
Br1 Br 0.500 0.500 0.500
N1 N 0.000 0.500 0.500
```

According to the calculations, the structures order from most to least stable as B), A), C).

A) This record from Alexandria describes SiS2BrN after structural relaxation. The functional is PBE.

Calculated values
The density is 3.32 g/cm3. The volume comes out at 18.6 Å³ per atom.

CIF file:
```
data_SiS2BrN
_cell_length_a 5.017
_cell_length_b 5.017
_cell_length_c 3.703
_cell_angle_alpha 90.00
_cell_angle_beta 90.00
_cell_angle_gamma 90.00
_space_group_name_H-M_alt 'P 4/m m m'
_space_group_IT_number 123
_space_group_name_Hall '-P 4 2'
loop_
_atom_site_label
_atom_site_type_symbol
_atom_site_fract_x
_atom_site_fract_y
_atom_site_fract_z
Si1 Si 0.000 0.000 0.000
S1 S 0.000 0.500 0.500
Br1 Br 0.500 0.500 0.500
N1 N 0.500 0.500 0.000
```

B) This record from Alexandria describes SiS2BrN after structural relaxation. The functional is PBE.

Calculated values
The density is 3.85 g/cm3. The volume comes out at 16.1 Å³ per atom.

CIF file:
```
data_SiS2BrN
_cell_length_a 4.890
_cell_length_b 4.890
_cell_length_c 3.358
_cell_angle_alpha 90.00
_cell_angle_beta 90.00
_cell_angle_gamma 90.00
_space_group_name_H-M_alt 'P 4/m m m'
_space_group_IT_number 123
_space_group_name_Hall '-P 4 2'
loop_
_atom_site_label
_atom_site_type_symbol
_atom_site_fract_x
_atom_site_fract_y
_atom_site_fract_z
Si1 Si 0.000 0.000 0.000
S1 S 0.000 0.500 0.000
Br1 Br 0.500 0.500 0.500
N1 N 0.000 0.000 0.500
```

According to the calculations, the structures order from most to least stable as B), A).

A) This record from Alexandria describes TcS2BrN after structural relaxation. The functional is PBE.

Calculated values
The density is 4.89 g/cm3. The volume comes out at 17.4 Å³ per atom.

CIF file:
```
data_TcS2BrN
_cell_length_a 4.809
_cell_length_b 4.809
_cell_length_c 3.761
_cell_angle_alpha 90.00
_cell_angle_beta 90.00
_cell_angle_gamma 90.00
_space_group_name_H-M_alt 'P 4/m m m'
_space_group_IT_number 123
_space_group_name_Hall '-P 4 2'
loop_
_atom_site_label
_atom_site_type_symbol
_atom_site_fract_x
_atom_site_fract_y
_atom_site_fract_z
Tc1 Tc 0.000 0.000 0.000
S1 S 0.000 0.500 0.000
Br1 Br 0.500 0.500 0.500
N1 N 0.000 0.000 0.500
```

B) This record from Alexandria describes TcS2BrN after structural relaxation. The functional is PBE.

Calculated values
The density is 4.62 g/cm3. The volume comes out at 18.4 Å³ per atom.

CIF file:
```
data_TcS2BrN
_cell_length_a 4.994
_cell_length_b 4.994
_cell_length_c 3.690
_cell_angle_alpha 90.00
_cell_angle_beta 90.00
_cell_angle_gamma 90.00
_space_group_name_H-M_alt 'P 4/m m m'
_space_group_IT_number 123
_space_group_name_Hall '-P 4 2'
loop_
_atom_site_label
_atom_site_type_symbol
_atom_site_fract_x
_atom_site_fract_y
_atom_site_fract_z
Tc1 Tc 0.000 0.000 0.000
S1 S 0.000 0.500 0.500
Br1 Br 0.500 0.500 0.500
N1 N 0.500 0.500 0.000
```

According to the calculations, the structures order from most to least stable as A), B).